First-principles (PBE) data for a relaxed structure of Sm6TlSi2Br3, as listed in Alexandria via LeMat-Bulk.

Properties
**Formation energy without anion corrections**: -0.933 eV per atom
**Density of states at the Fermi level**: 0.503 states/eV per atom

abc: 19.0522 4.2255 8.8458
angles: 90.00 103.29 90.00
With the nearest neighbours (Å) after each atom.
Space group C2/m (No. 12)
Unique sites:
Sm1 0.0136 0.0000 0.2573 (multiplicity 4)  1 Si 2.86, 2 Br 3.07, 2 Tl 3.07
Sm2 0.1658 0.5000 0.1220 (multiplicity 4)  2 Si 2.87, 1 Tl 3.09, 1 Br 3.10
Sm3 0.1771 0.5000 0.5680 (multiplicity 4)  3 Si 2.87-2.89, 2 Br 3.21
Tl1 0.0000 0.5000 0.0000 (multiplicity 2)  6 Sm 3.07-3.09
Si1 0.1680 0.0000 0.3419 (multiplicity 4)  6 Sm 2.86-2.89
Br1 0.0000 0.5000 0.5000 (multiplicity 2)  6 Sm 3.07-3.29
Br2 0.1684 0.0000 0.8367 (multiplicity 4)  6 Sm 3.10-3.37



First-principles (PBE) data for a relaxed structure of BaTc2Os, as listed in Alexandria via LeMat-Bulk.

Properties
**Final energy**: -31.0 eV/cell
**Density of states at the Fermi level**: 0.975 states/eV per atom

abc: 2.9271 3.6258 7.7898
angles: 90.00 90.00 90.00
With the nearest neighbours (Å) after each atom.
Space group Pmm2 (No. 25)
Unique sites:
Ba1 0.0000 0.0000 0.0000 (multiplicity 1)  2 Ba 2.93
Tc1 0.0000 0.0000 0.4902 (multiplicity 1)  4 Os 2.64, 6 Tc 2.68-2.93
Tc2 0.5000 0.5000 0.6594 (multiplicity 1)  1 Os 2.56, 4 Tc 2.68
Os1 0.5000 0.5000 0.3310 (multiplicity 1)  5 Tc 2.56-2.64



First-principles (PBE) data for a relaxed structure of Hf2ScPb, as listed in Alexandria via LeMat-Bulk.

Properties
**Final energy**: -89.2 eV/cell
**Density of states at the Fermi level**: 1.025 states/eV per atom

abc: 3.2908 3.2908 30.4080
angles: 90.00 90.00 120.00
With the nearest neighbours (Å) after each atom.
Space group R3m (No. 160, hexagonal axes)
Unique sites:
Hf1 0.0000 0.0000 0.0000 (multiplicity 3)  3 Sc 3.13, 3 Pb 3.21, 6 Hf 3.29
Hf2 0.0000 0.0000 0.1632 (multiplicity 3)  3 Sc 3.12, 3 Pb 3.21, 6 Hf 3.29
Sc1 0.0000 0.0000 0.7486 (multiplicity 3)  6 Hf 3.12-3.13, 6 Sc 3.29
Pb1 0.0000 0.0000 0.5818 (multiplicity 3)  6 Hf 3.21, 6 Pb 3.29



- The lowest density of states at the Fermi level belongs to which entry?
  Sm6TlSi2Br3



- What is the density of states at the Fermi level in the second record?
  0.975 states/eV per atom